[1]
TlZnW2: single point on PBEsol structure, meta-GGA SCAN.

Geometry as POSCAR:
```
TlZnW2
1.0
4.787 -1.579 0.000
4.787 1.579 0.000
-1.247 0.000 4.406
Tl Zn W
1 1 2
direct
0.000 0.000 0.000
0.500 0.500 0.500
0.245 0.245 0.735
0.755 0.755 0.265
```

Computed properties:
Calculated formation energy = 71 kJ per mole of atoms
Crystal system = monoclinic
Total DFT energy (no corrections) = -55.574 eV per atom

=====

[2]
ZrTlW2: single point on PBEsol structure, meta-GGA SCAN.

Geometry as POSCAR:
```
ZrTlW2
1.0
4.887 -1.427 0.000
4.887 1.427 0.000
-0.639 0.000 5.261
Zr Tl W
1 1 2
direct
0.000 0.000 0.000
0.248 0.248 0.750
0.502 0.502 0.482
0.753 0.753 0.263
```

Computed properties:
Calculated formation energy = 62 kJ per mole of atoms
Crystal system = monoclinic
Total DFT energy (no corrections) = -59.967 eV per atom

=====

[3]
ZrTl3W: single point on PBEsol structure, meta-GGA SCAN.

Geometry as POSCAR:
```
ZrTl3W
1.0
5.437 0.000 0.000
0.000 5.437 0.000
0.000 0.000 5.437
Zr Tl W
1 3 1
direct
0.000 0.000 0.000
0.000 0.000 0.500
0.000 0.500 0.000
0.500 0.000 0.000
0.500 0.500 0.500
```

Computed properties:
Calculated formation energy = 164 kJ per mole of atoms
Crystal system = cubic
Total DFT energy (no corrections) = -61.791 eV per atom

=====

[4]
ZrTlW2: single point on PBEsol structure, meta-GGA SCAN.

Geometry as POSCAR:
```
ZrTlW2
1.0
1.645 -2.376 0.000
1.645 2.376 0.000
0.000 0.000 9.420
Zr Tl W
1 1 2
direct
0.000 0.000 0.000
0.000 0.000 0.500
0.500 0.500 0.246
0.500 0.500 0.754
```

Computed properties:
Calculated formation energy = 64 kJ per mole of atoms
Crystal system = orthorhombic
Total DFT energy (no corrections) = -59.945 eV per atom

=====

[5]
ZrTlW2: single point on PBEsol structure, meta-GGA SCAN.

Geometry as POSCAR:
```
ZrTlW2
1.0
-2.185 2.185 3.790
2.185 -2.185 3.790
2.185 2.185 -3.790
Zr Tl W
1 1 2
direct
0.000 0.000 0.000
0.750 0.250 0.500
0.250 0.750 0.500
0.500 0.500 0.000
```

Computed properties:
Calculated formation energy = 46 kJ per mole of atoms
Crystal system = tetragonal
Total DFT energy (no corrections) = -60.130 eV per atom

=====

[6]
ZrTl2W: single point on PBEsol structure, meta-GGA SCAN.

Geometry as POSCAR:
```
ZrTl2W
1.0
4.235 0.000 0.000
0.000 4.235 0.000
0.000 0.000 4.463
Zr Tl W
1 2 1
direct
0.000 0.000 0.000
0.000 0.500 0.500
0.500 0.000 0.500
0.500 0.500 0.000
```

Computed properties:
Calculated formation energy = 51 kJ per mole of atoms
Crystal system = tetragonal
Total DFT energy (no corrections) = -60.747 eV per atom

=====

[7]
ZrTl2W: single point on PBEsol structure, meta-GGA SCAN.

Geometry as POSCAR:
```
ZrTl2W
1.0
-1.847 2.366 4.628
1.847 -2.366 4.628
1.847 2.366 -4.628
Zr Tl W
1 2 1
direct
0.000 0.000 0.000
0.257 0.757 0.500
0.743 0.243 0.500
0.500 0.500 0.000
```

Computed properties:
Calculated formation energy = 46 kJ per mole of atoms
Crystal system = orthorhombic
Total DFT energy (no corrections) = -60.799 eV per atom

=====

[8]
YTl4: single point on PBEsol structure, meta-GGA SCAN.

Geometry as POSCAR:
```
YTl4
1.0
-3.501 3.501 3.501
3.501 -3.501 3.501
3.501 3.501 -3.501
Y Tl
1 4
direct
0.000 0.000 0.000
0.000 0.000 0.500
0.000 0.500 0.000
0.500 0.000 0.000
0.500 0.500 0.500
```

Computed properties:
Calculated formation energy = 4 kJ per mole of atoms
Crystal system = cubic
Total DFT energy (no corrections) = -63.411 eV per atom

=====

[9]
Y5Tl: single point on PBEsol structure, meta-GGA SCAN.

Geometry as POSCAR:
```
Y5Tl
1.0
2.391 -7.494 0.000
2.391 7.494 0.000
0.000 0.000 4.788
Y Tl
5 1
direct
0.000 0.000 0.000
0.161 0.839 0.500
0.332 0.668 0.000
0.668 0.332 0.000
0.839 0.161 0.500
0.500 0.500 0.500
```

Computed properties:
Calculated formation energy = -18 kJ per mole of atoms
Crystal system = orthorhombic
Total DFT energy (no corrections) = -35.454 eV per atom

=====

[10]
Y5Tl: single point on PBEsol structure, meta-GGA SCAN.

Geometry as POSCAR:
```
Y5Tl
1.0
5.436 0.000 0.000
0.000 1.785 8.964
0.000 -1.785 8.964
Y Tl
5 1
direct
0.000 0.000 0.000
0.000 0.324 0.324
0.000 0.658 0.658
0.500 0.207 0.207
0.500 0.879 0.879
0.500 0.548 0.548
```

Computed properties:
Calculated formation energy = -15 kJ per mole of atoms
Crystal system = orthorhombic
Total DFT energy (no corrections) = -35.418 eV per atom

=====

[11]
Y4Tl5: single point on PBEsol structure, meta-GGA SCAN.

Geometry as POSCAR:
```
Y4Tl5
1.0
9.193 0.000 0.000
-4.596 7.961 0.000
0.000 0.000 6.443
Y Tl
8 10
direct
0.000 0.000 0.000
0.000 0.000 0.500
0.000 0.369 0.250
0.000 0.631 0.750
0.369 0.000 0.250
0.369 0.369 0.750
0.631 0.000 0.750
0.631 0.631 0.250
0.000 0.298 0.750
0.000 0.702 0.250
0.298 0.000 0.750
0.298 0.298 0.250
0.333 0.667 0.000
0.333 0.667 0.500
0.667 0.333 0.000
0.667 0.333 0.500
0.702 0.000 0.250
0.702 0.702 0.750
```

Computed properties:
Calculated formation energy = -52 kJ per mole of atoms
Crystal system = hexagonal
Total DFT energy (no corrections) = -53.110 eV per atom

=====

[12]
Y7Tl: single point on PBEsol structure, meta-GGA SCAN.

Geometry as POSCAR:
```
Y7Tl
1.0
0.000 4.895 4.895
4.895 0.000 4.895
4.895 4.895 0.000
Y Tl
7 1
direct
0.000 0.000 0.000
0.000 0.000 0.500
0.000 0.500 0.000
0.000 0.500 0.500
0.500 0.000 0.000
0.500 0.000 0.500
0.500 0.500 0.000
0.500 0.500 0.500
```

Computed properties:
Calculated formation energy = -8 kJ per mole of atoms
Crystal system = cubic
Total DFT energy (no corrections) = -33.495 eV per atom

=====

Question: Look up the calculated formation energy of the first one.
Answer: 71 kJ per mole of atoms

=====

Question: Look up the total DFT energy (no corrections) of the second one.
Answer: -59.967 eV per atom